1.
{"formula": "LaHf2CoN4", "functional": "PBE", "state": "optimized geometry", "vol_a3_per_atom": 12.54, "m_tot_mub_per_fu": 1.085, "space_group": "Cmcm, No. 63", "dos_at_fermi_per_ev_atom": 0.416, "formation_energy_uncorrected_mev_per_atom": -1346, "lattice": [[3.255, 0.000, 0.000], [-1.628, 5.543, 0.000], [0.000, 0.000, 11.118]], "species": ["La", "La", "Hf", "Hf", "Hf", "Hf", "Co", "Co", "N", "N", "N", "N", "N", "N", "N", "N"], "frac_coords": [[0.103, 0.206, 0.750], [0.897, 0.794, 0.250], [0.367, 0.733, 0.554], [0.633, 0.267, 0.054], [0.633, 0.267, 0.446], [0.367, 0.733, 0.946], [0.839, 0.679, 0.750], [0.161, 0.321, 0.250], [0.265, 0.529, 0.110], [0.735, 0.471, 0.610], [0.735, 0.471, 0.890], [0.265, 0.529, 0.390], [0.000, 0.000, 0.500], [0.000, 0.000, 0.000], [0.434, 0.867, 0.750], [0.566, 0.133, 0.250]]}

2.
{"formula": "Ba3Bi4Pd2", "functional": "PBE", "state": "optimized geometry", "vol_a3_per_atom": 34.99, "m_tot_mub_per_fu": 0.000, "space_group": "C2/m, No. 12", "ef_kj_per_mol_atoms": -69.1, "dos_at_fermi_per_ev_atom": 0.278, "lattice": [[5.021, 0.000, 0.000], [-2.510, 6.512, -1.255], [0.000, 0.466, 9.544]], "species": ["Ba", "Ba", "Ba", "Bi", "Bi", "Bi", "Bi", "Pd", "Pd"], "frac_coords": [[0.652, 0.304, 0.659], [0.000, 0.000, 0.000], [0.348, 0.696, 0.341], [0.723, 0.447, 0.088], [0.277, 0.553, 0.912], [0.921, 0.842, 0.613], [0.079, 0.158, 0.387], [0.588, 0.175, 0.276], [0.412, 0.825, 0.724]]}

3.
{"formula": "YNiW3", "functional": "PBE", "state": "optimized geometry", "vol_a3_per_atom": 19.62, "m_tot_mub_per_fu": 0.000, "space_group": "Pm-3m, No. 221", "ef_kj_per_mol_atoms": 120.6, "dos_at_fermi_per_ev_atom": 1.968, "lattice": [[-1.731, -3.781, -1.994], [-0.067, -2.127, 4.092], [-4.275, 1.564, 0.743]], "species": ["Y", "Ni", "W", "W", "W"], "frac_coords": [[0.500, 0.500, 0.500], [0.000, 0.000, 0.000], [0.000, 0.500, 0.000], [0.000, 0.000, 0.500], [0.500, 0.000, 0.000]]}

4.
{"formula": "Ac4Cu3AgO12", "functional": "PBE", "state": "optimized geometry", "vol_a3_per_atom": 12.75, "m_tot_mub_per_fu": 0.000, "space_group": "Im-3m, No. 229", "dos_at_fermi_per_ev_atom": 0.230, "formation_energy_uncorrected_mev_per_atom": -1896, "lattice": [[-0.555, 6.700, 1.637], [-5.044, -3.563, 3.122], [6.147, -2.385, 2.098]], "species": ["Ac", "Ac", "Ac", "Ac", "Cu", "Cu", "Cu", "Ag", "O", "O", "O", "O", "O", "O", "O", "O", "O", "O", "O", "O"], "frac_coords": [[0.500, 0.500, 0.500], [0.000, 0.000, 0.500], [0.500, 0.000, 0.000], [0.000, 0.500, 0.000], [0.500, 0.000, 0.500], [0.500, 0.500, 0.000], [0.000, 0.500, 0.500], [0.000, 0.000, 0.000], [0.250, 0.500, 0.750], [0.738, 0.000, 0.738], [0.262, 0.000, 0.262], [0.750, 0.500, 0.250], [0.738, 0.738, 0.000], [0.262, 0.262, 0.000], [0.750, 0.250, 0.500], [0.250, 0.750, 0.500], [0.500, 0.250, 0.750], [0.000, 0.738, 0.738], [0.500, 0.750, 0.250], [0.000, 0.262, 0.262]]}

5.
{"formula": "LiH4Ru", "functional": "PBE", "state": "optimized geometry", "vol_a3_per_atom": 6.68, "m_tot_mub_per_fu": 0.000, "space_group": "P4/mmm, No. 123", "e_tot_ev_per_atom": -4.269, "dos_at_fermi_per_ev_atom": 0.205, "lattice": [[4.194, 0.000, 0.031], [0.000, 4.194, 0.000], [-0.029, 0.000, 4.557]], "species": ["Li", "Li", "H", "H", "H", "H", "H", "H", "H", "H", "Ru", "Ru"], "frac_coords": [[0.000, 0.000, 0.000], [0.500, 0.500, 0.000], [0.750, 0.750, 0.282], [0.750, 0.250, 0.718], [0.250, 0.250, 0.282], [0.250, 0.750, 0.718], [0.250, 0.250, 0.718], [0.250, 0.750, 0.282], [0.750, 0.750, 0.718], [0.750, 0.250, 0.282], [0.500, 0.000, 0.500], [0.000, 0.500, 0.500]]}

6.
{"formula": "Tm6ZnS4", "functional": "PBE", "state": "optimized geometry", "vol_a3_per_atom": 21.81, "m_tot_mub_per_fu": 0.000, "space_group": "Cmcm, No. 63", "dos_at_fermi_per_ev_atom": 0.496, "formation_energy_uncorrected_mev_per_atom": -1494, "lattice": [[-0.771, -0.686, 3.700], [-3.915, -4.017, -3.555], [13.925, -13.863, 0.329]], "species": ["Tm", "Tm", "Tm", "Tm", "Tm", "Tm", "Tm", "Tm", "Tm", "Tm", "Tm", "Tm", "Zn", "Zn", "S", "S", "S", "S", "S", "S", "S", "S"], "frac_coords": [[0.500, 0.000, 0.000], [0.500, 0.000, 0.500], [0.045, 0.091, 0.337], [0.955, 0.909, 0.663], [0.955, 0.909, 0.837], [0.045, 0.091, 0.163], [0.772, 0.543, 0.414], [0.228, 0.457, 0.586], [0.228, 0.457, 0.914], [0.772, 0.543, 0.086], [0.333, 0.667, 0.250], [0.667, 0.333, 0.750], [0.661, 0.323, 0.250], [0.339, 0.677, 0.750], [0.862, 0.724, 0.539], [0.409, 0.818, 0.123], [0.138, 0.276, 0.461], [0.591, 0.182, 0.877], [0.862, 0.724, 0.961], [0.138, 0.276, 0.039], [0.591, 0.182, 0.623], [0.409, 0.818, 0.377]]}

7.
{"formula": "Sr3Pb5Br16", "functional": "PBE", "state": "optimized geometry", "vol_a3_per_atom": 40.99, "m_tot_mub_per_fu": 0.000, "space_group": "Cm, No. 8", "dos_at_fermi_per_ev_atom": 0.000, "formation_energy_uncorrected_mev_per_atom": -1364, "lattice": [[-8.744, 1.767, -1.794], [-5.577, -6.730, -2.529], [-3.337, -2.377, 13.096]], "species": ["Sr", "Sr", "Sr", "Pb", "Pb", "Pb", "Pb", "Pb", "Br", "Br", "Br", "Br", "Br", "Br", "Br", "Br", "Br", "Br", "Br", "Br", "Br", "Br", "Br", "Br"], "frac_coords": [[0.833, 0.833, 0.785], [0.168, 0.665, 0.287], [0.665, 0.168, 0.287], [0.336, 0.833, 0.789], [0.665, 0.665, 0.518], [0.833, 0.336, 0.789], [0.167, 0.167, 0.289], [0.333, 0.333, 0.018], [0.328, 0.834, 0.404], [0.514, 0.514, 0.659], [0.667, 0.667, 0.906], [0.003, 0.003, 0.672], [0.002, 0.002, 0.173], [0.834, 0.328, 0.404], [0.516, 0.968, 0.655], [0.968, 0.516, 0.655], [0.165, 0.165, 0.904], [0.837, 0.837, 0.405], [0.031, 0.485, 0.157], [0.485, 0.031, 0.157], [0.333, 0.333, 0.406], [0.162, 0.673, 0.905], [0.483, 0.483, 0.154], [0.673, 0.162, 0.905]]}

8.
{"formula": "BaCaAg", "functional": "PBE", "state": "optimized geometry", "vol_a3_per_atom": 36.87, "m_tot_mub_per_fu": 0.000, "space_group": "Fmm2, No. 42", "ef_kj_per_mol_atoms": -16.9, "dos_at_fermi_per_ev_atom": 0.925, "lattice": [[7.550, 0.001, -0.001], [6.505, 3.834, 0.006], [1.044, 0.284, 3.823]], "species": ["Ca", "Ba", "Ag"], "frac_coords": [[0.626, 0.626, 0.374], [0.359, 0.359, 0.641], [0.015, 0.015, 0.985]]}

9.
{"formula": "SrCaTi2", "functional": "PBE", "state": "optimized geometry", "vol_a3_per_atom": 29.19, "m_tot_mub_per_fu": 4.000, "space_group": "I-42d, No. 122", "ef_kj_per_mol_atoms": 98.5, "dos_at_fermi_per_ev_atom": 0.469, "lattice": [[-3.722, -4.802, -6.121], [-3.046, -5.345, 6.044], [-5.990, -3.337, 0.184]], "species": ["Sr", "Sr", "Ca", "Ca", "Ti", "Ti", "Ti", "Ti"], "frac_coords": [[0.000, 0.000, 0.000], [0.750, 0.250, 0.500], [0.500, 0.500, 0.000], [0.250, 0.750, 0.500], [0.618, 0.125, 0.250], [0.132, 0.625, 0.250], [0.375, 0.382, 0.750], [0.875, 0.868, 0.750]]}

10.
{"formula": "Ho2Cd3Hg", "functional": "PBE", "state": "optimized geometry", "vol_a3_per_atom": 24.20, "m_tot_mub_per_fu": 0.000, "space_group": "Fmmm, No. 69", "ef_kj_per_mol_atoms": -32.3, "dos_at_fermi_per_ev_atom": 0.622, "lattice": [[-3.557, -0.101, 4.855], [3.709, -4.741, -0.003], [5.732, 6.963, 1.924]], "species": ["Ho", "Ho", "Ho", "Ho", "Cd", "Cd", "Cd", "Cd", "Cd", "Cd", "Hg", "Hg"], "frac_coords": [[0.250, 0.750, 0.500], [0.748, 0.748, 0.000], [0.750, 0.250, 0.500], [0.252, 0.252, 0.000], [0.668, 0.166, 0.834], [0.834, 0.332, 0.166], [0.332, 0.834, 0.166], [0.166, 0.668, 0.834], [0.834, 0.834, 0.669], [0.166, 0.166, 0.331], [0.333, 0.333, 0.667], [0.667, 0.667, 0.333]]}

11.
{"formula": "MnWC2", "functional": "PBE", "state": "optimized geometry", "vol_a3_per_atom": 9.12, "m_tot_mub_per_fu": 1.228, "space_group": "Fm-3m, No. 225", "ef_kj_per_mol_atoms": 80.5, "dos_at_fermi_per_ev_atom": 0.836, "lattice": [[0.724, -0.326, 3.637], [0.112, 3.034, 2.154], [-2.693, 0.611, 2.496]], "species": ["C", "C", "Mn", "W"], "frac_coords": [[0.250, 0.250, 0.250], [0.750, 0.750, 0.750], [0.000, 0.000, 0.000], [0.500, 0.500, 0.500]]}

12.
{"formula": "YZr5Ru6", "functional": "PBE", "state": "optimized geometry", "vol_a3_per_atom": 17.94, "m_tot_mub_per_fu": 0.000, "space_group": "Cmmm, No. 65", "ef_kj_per_mol_atoms": -57.4, "dos_at_fermi_per_ev_atom": 0.381, "lattice": [[-3.459, -2.540, -1.811], [3.792, -5.388, 0.314], [-4.137, -2.588, 5.542]], "species": ["Y", "Ru", "Ru", "Ru", "Ru", "Ru", "Ru", "Zr", "Zr", "Zr", "Zr", "Zr"], "frac_coords": [[0.000, 0.000, 0.000], [0.830, 0.746, 0.340], [0.830, 0.254, 0.340], [0.500, 0.258, 0.000], [0.500, 0.742, 0.000], [0.170, 0.746, 0.660], [0.170, 0.254, 0.660], [0.667, 0.500, 0.667], [0.333, 0.000, 0.335], [0.000, 0.500, 0.000], [0.667, 0.000, 0.665], [0.333, 0.500, 0.333]]}

13.
{"formula": "LaYBr2", "functional": "PBE", "state": "optimized geometry", "vol_a3_per_atom": 29.56, "m_tot_mub_per_fu": 0.002, "space_group": "P2/m, No. 10", "dos_at_fermi_per_ev_atom": 0.629, "formation_energy_uncorrected_mev_per_atom": -1036, "lattice": [[-3.949, 2.415, -1.706], [-2.034, -3.144, 0.259], [-1.545, 1.688, 5.964]], "species": ["Y", "Br", "Br", "La"], "frac_coords": [[0.500, 0.750, 0.750], [0.000, 0.946, 0.996], [0.000, 0.554, 0.504], [0.500, 0.250, 0.250]]}

14.
{"formula": "AlAgP2", "functional": "PBE", "state": "optimized geometry", "vol_a3_per_atom": 21.72, "m_tot_mub_per_fu": 0.000, "space_group": "I-42d, No. 122", "ef_kj_per_mol_atoms": 6.3, "dos_at_fermi_per_ev_atom": 0.478, "lattice": [[5.657, 0.000, 0.000], [0.000, 5.657, 0.000], [2.829, 2.829, 5.429]], "species": ["P", "P", "P", "P", "Al", "Al", "Ag", "Ag"], "frac_coords": [[0.612, 0.125, 0.250], [0.138, 0.625, 0.250], [0.375, 0.388, 0.750], [0.875, 0.862, 0.750], [0.500, 0.500, 0.000], [0.250, 0.750, 0.500], [0.000, 0.000, 0.000], [0.750, 0.250, 0.500]]}

15.
{"formula": "La2PW", "functional": "PBE", "state": "optimized geometry", "vol_a3_per_atom": 24.34, "m_tot_mub_per_fu": 0.000, "space_group": "Fm-3m, No. 225", "ef_kj_per_mol_atoms": 19.6, "dos_at_fermi_per_ev_atom": 1.115, "lattice": [[-3.326, -1.091, -3.796], [-3.849, 3.268, -1.078], [0.088, 2.739, -4.377]], "species": ["P", "W", "La", "La"], "frac_coords": [[0.000, 0.000, 0.000], [0.500, 0.500, 0.500], [0.250, 0.250, 0.250], [0.750, 0.750, 0.750]]}

16.
{"formula": "Na5MgPb2", "functional": "PBE", "state": "optimized geometry", "vol_a3_per_atom": 29.06, "m_tot_mub_per_fu": 0.000, "space_group": "Pbam, No. 55", "ef_kj_per_mol_atoms": -7.8, "dos_at_fermi_per_ev_atom": 0.489, "lattice": [[5.074, 0.000, 0.000], [0.000, 6.827, 0.000], [0.000, 0.000, 13.421]], "species": ["Na", "Na", "Na", "Na", "Na", "Na", "Na", "Na", "Na", "Na", "Mg", "Mg", "Pb", "Pb", "Pb", "Pb"], "frac_coords": [[0.000, 0.000, 0.000], [0.000, 0.500, 0.500], [0.000, 0.405, 0.750], [0.000, 0.595, 0.250], [0.000, 0.095, 0.250], [0.000, 0.905, 0.750], [0.500, 0.181, 0.870], [0.500, 0.819, 0.130], [0.500, 0.319, 0.370], [0.500, 0.681, 0.630], [0.000, 0.000, 0.500], [0.000, 0.500, 0.000], [0.500, 0.166, 0.609], [0.500, 0.834, 0.391], [0.500, 0.334, 0.109], [0.500, 0.666, 0.891]]}

17.
{"formula": "Ta4Cr2Os", "functional": "PBE", "state": "optimized geometry", "vol_a3_per_atom": 16.96, "m_tot_mub_per_fu": 0.001, "space_group": "I4/mmm, No. 139", "ef_kj_per_mol_atoms": 6.7, "dos_at_fermi_per_ev_atom": 0.865, "lattice": [[5.058, -0.003, -1.782], [-2.522, 4.378, -1.799], [-0.002, 0.003, 5.363]], "species": ["Cr", "Cr", "Os", "Ta", "Ta", "Ta", "Ta"], "frac_coords": [[0.500, 0.500, 0.000], [0.500, 0.000, 0.500], [0.000, 0.000, 0.000], [0.500, 0.000, 0.000], [0.500, 0.500, 0.500], [0.000, 0.000, 0.500], [0.000, 0.500, 0.000]]}

18.
{"formula": "Tb2Tm5Th4", "functional": "PBE", "state": "optimized geometry", "vol_a3_per_atom": 32.24, "m_tot_mub_per_fu": 0.000, "space_group": "C2/m, No. 12", "ef_kj_per_mol_atoms": 18.4, "dos_at_fermi_per_ev_atom": 1.430, "lattice": [[-3.497, -3.514, -4.377], [5.299, -4.063, -5.968], [4.704, -8.904, -1.606]], "species": ["Tb", "Tb", "Tm", "Tm", "Tm", "Tm", "Tm", "Th", "Th", "Th", "Th"], "frac_coords": [[0.195, 0.931, 0.678], [0.805, 0.069, 0.322], [0.175, 0.266, 0.904], [0.825, 0.734, 0.096], [0.000, 0.500, 0.500], [0.655, 0.266, 0.904], [0.345, 0.734, 0.096], [0.407, 0.776, 0.409], [0.593, 0.224, 0.591], [0.752, 0.657, 0.840], [0.248, 0.343, 0.160]]}

19.
{"formula": "Zn2In5Hg5", "functional": "PBE", "state": "optimized geometry", "vol_a3_per_atom": 25.25, "m_tot_mub_per_fu": 0.000, "space_group": "C2/m, No. 12", "ef_kj_per_mol_atoms": 5.2, "dos_at_fermi_per_ev_atom": 0.302, "lattice": [[-0.969, 2.442, 3.178], [-4.513, 0.141, -4.160], [-2.525, -10.645, 7.410]], "species": ["Zn", "Zn", "In", "In", "In", "In", "In", "Hg", "Hg", "Hg", "Hg", "Hg"], "frac_coords": [[0.022, 0.045, 0.717], [0.978, 0.955, 0.283], [0.660, 0.320, 0.424], [0.705, 0.411, 0.703], [0.295, 0.589, 0.297], [0.340, 0.680, 0.576], [0.000, 0.000, 0.000], [0.000, 0.000, 0.500], [0.781, 0.562, 0.091], [0.561, 0.123, 0.177], [0.439, 0.877, 0.823], [0.219, 0.438, 0.909]]}

20.
{"formula": "Pm5TeRh2", "functional": "PBE", "state": "optimized geometry", "vol_a3_per_atom": 27.21, "m_tot_mub_per_fu": 0.000, "space_group": "I4/mcm, No. 140", "dos_at_fermi_per_ev_atom": 0.845, "formation_energy_uncorrected_mev_per_atom": -751, "lattice": [[-4.050, -1.718, -6.643], [6.859, -0.788, -3.978], [-1.232, -5.409, 6.928]], "species": ["Pm", "Pm", "Pm", "Pm", "Pm", "Pm", "Pm", "Pm", "Pm", "Pm", "Te", "Te", "Rh", "Rh", "Rh", "Rh"], "frac_coords": [[0.519, 0.708, 0.727], [0.792, 0.981, 0.273], [0.000, 0.000, 0.000], [0.500, 0.500, 0.000], [0.208, 0.019, 0.727], [0.708, 0.208, 0.727], [0.019, 0.519, 0.727], [0.292, 0.792, 0.273], [0.981, 0.481, 0.273], [0.481, 0.292, 0.273], [0.750, 0.750, 0.500], [0.250, 0.250, 0.500], [0.142, 0.358, 0.000], [0.642, 0.142, 0.000], [0.358, 0.858, 0.000], [0.858, 0.642, 0.000]]}